Record 1
DFT (GGA-PBE) results for PrAl5NiIr after structural relaxation.

```
data_PrAl5NiIr
_chemical_formula_sum 'Pr2 Al10 Ni2 Ir2'
_symmetry_space_group_name_H-M 'I m m 2'
_symmetry_Int_Tables_number 44
_cell_length_a 4.0310
_cell_length_b 7.1721
_cell_length_c 9.7514
_cell_angle_alpha 90.00
_cell_angle_beta 90.00
_cell_angle_gamma 90.00
loop_
_symmetry_equiv_pos_as_xyz
'x,y,z'
'-x,-y,z'
'-x,y,z'
'x,-y,z'
'x+1/2,y+1/2,z+1/2'
'-x+1/2,-y+1/2,z+1/2'
'-x+1/2,y+1/2,z+1/2'
'x+1/2,-y+1/2,z+1/2'
loop_
_atom_site_label
_atom_site_fract_x
_atom_site_fract_y
_atom_site_fract_z
_atom_site_occupancy
Pr1 0.0000 0.0000 0.0000 1
Al1 0.0000 0.1854 0.6606 1
Al2 0.0000 0.1937 0.3477 1
Al3 0.0000 0.5000 0.0124 1
Ni1 0.0000 0.5000 0.2471 1
Ir1 0.0000 0.5000 0.7669 1
```

Properties
The uncorrected energy comes out at -86.7 eV for the cell shown.

Record 2
DFT (GGA-PBE) results for MgZrPO after structural relaxation.

```
data_MgZrPO
_chemical_formula_sum 'Mg2 Zr2 P2 O2'
_symmetry_space_group_name_H-M 'P 4/n m m'
_symmetry_Int_Tables_number 129
_cell_length_a 3.7806
_cell_length_b 3.7806
_cell_length_c 8.3985
_cell_angle_alpha 90.00
_cell_angle_beta 90.00
_cell_angle_gamma 90.00
loop_
_symmetry_equiv_pos_as_xyz
'x,y,z'
'-x,-y,-z'
'-y+1/2,x,z'
'y+1/2,-x,-z'
'-x+1/2,-y+1/2,z'
'x+1/2,y+1/2,-z'
'y,-x+1/2,z'
'-y,x+1/2,-z'
'x+1/2,-y,-z'
'-x+1/2,y,z'
'-y,-x,-z'
'y,x,z'
'-x,y+1/2,-z'
'x,-y+1/2,z'
'y+1/2,x+1/2,-z'
'-y+1/2,-x+1/2,z'
loop_
_atom_site_label
_atom_site_fract_x
_atom_site_fract_y
_atom_site_fract_z
_atom_site_occupancy
Mg1 0.2500 0.7500 0.0000 1
Zr1 0.2500 0.2500 0.3629 1
P1 0.2500 0.2500 0.7956 1
O1 0.2500 0.7500 0.5000 1
```

Properties
As for the energy relative to the lowest polymorph listed for this composition: 202.9 meV per atom.

Record 3
DFT (GGA-PBE) results for TbZr2 after structural relaxation.

```
data_TbZr2
_chemical_formula_sum 'Tb2 Zr4'
_symmetry_space_group_name_H-M 'P -6 2 m'
_symmetry_Int_Tables_number 189
_symmetry_space_group_name_Hall 'P -6 -2'
_cell_length_a 5.8011
_cell_length_b 5.8011
_cell_length_c 5.2908
_cell_angle_alpha 90.00
_cell_angle_beta 90.00
_cell_angle_gamma 120.00
loop_
_atom_site_label
_atom_site_fract_x
_atom_site_fract_y
_atom_site_fract_z
_atom_site_occupancy
Tb1 0.3333 0.6667 0.0000 1
Zr1 0.0000 0.0000 0.0000 1
Zr2 0.0000 0.3139 0.5000 1
```

Properties
The uncorrected energy comes out at -43.0 eV for the cell shown.

Record 4
DFT (GGA-PBE) results for Na6Zr2O7 after structural relaxation.

```
data_Na6Zr2O7
_chemical_formula_sum 'Na24 Zr8 O28'
_symmetry_space_group_name_H-M 'C 1 2/c 1'
_symmetry_Int_Tables_number 15
_cell_length_a 11.2790
_cell_length_b 6.4593
_cell_length_c 10.9024
_cell_angle_alpha 90.00
_cell_angle_beta 101.84
_cell_angle_gamma 90.00
loop_
_symmetry_equiv_pos_as_xyz
'x,y,z'
'-x,-y,-z'
'-x,y,-z+1/2'
'x,-y,z+1/2'
'x+1/2,y+1/2,z'
'-x+1/2,-y+1/2,-z'
'-x+1/2,y+1/2,-z+1/2'
'x+1/2,-y+1/2,z+1/2'
loop_
_atom_site_label
_atom_site_fract_x
_atom_site_fract_y
_atom_site_fract_z
_atom_site_occupancy
Na1 0.0652 0.1414 0.0970 1
Na2 0.0704 0.3943 0.6178 1
Na3 0.1981 0.1279 0.8810 1
Zr1 0.1832 0.3772 0.3682 1
O1 0.0000 0.3459 0.2500 1
O2 0.1248 0.3987 0.9661 1
O3 0.1442 0.1432 0.5005 1
O4 0.2462 0.1046 0.2440 1
```

Properties
The uncorrected energy comes out at -372.2 eV for the cell shown.